Entry 1:
VASP calculation (PBE-GGA) on TaAlAu2 after structural relaxation.

Lattice parameters (Å, degrees): 2.9654 4.1785 5.7765 90.00 104.80 90.00
With the nearest neighbours (Å) after each atom.
Sites, in units of the cell vectors:
Ta 0.0000 0.0000 0.0000  4 Al 2.85, 7 Au 2.89-3.07, 2 Ta 2.97
Al 0.6115 0.5000 0.2240  3 Au 2.54-2.69
Au 0.3720 0.5000 0.7426  1 Al 2.69, 4 Ta 2.94, 6 Au 2.94-2.97
Au 0.7401 0.0000 0.4816  2 Al 2.54

Values from the calculation:
**Formation energy from the elements**: -155 meV per atom

Entry 2:
VASP calculation (PBE-GGA) on Sr3Ho3CuTe8 after structural relaxation.

Lattice parameters (Å, degrees): 8.8778 8.8778 9.1403 119.03 119.03 60.03
With the nearest neighbours (Å) after each atom.
Sites, in units of the cell vectors:
Sr 0.0000 0.0000 0.0000  6 Te 3.28-3.32
Sr 0.0000 0.5000 0.0000  6 Te 3.28-3.32
Sr 0.5000 0.0000 0.0000  6 Te 3.28-3.32
Ho 0.0000 0.5000 0.5000  6 Te 3.07-3.10
Ho 0.5000 0.0000 0.5000  6 Te 3.07-3.10
Ho 0.5000 0.5000 0.5000  6 Te 3.07-3.10
Cu 0.0000 0.0000 0.5000  6 Te 2.99-3.00
Te 0.2347 0.2347 0.7165  1 Cu 2.99, 2 Ho 3.07, 2 Sr 3.32
Te 0.2358 0.7460 0.7177  1 Cu 3.00, 2 Ho 3.07, 2 Sr 3.32
Te 0.2540 0.7642 0.2823  1 Cu 3.00, 2 Ho 3.07, 2 Sr 3.32
Te 0.2569 0.2569 0.2707  3 Ho 3.10, 3 Sr 3.28
Te 0.7431 0.7431 0.7293  3 Ho 3.10, 3 Sr 3.28
Te 0.7460 0.2358 0.7177  1 Cu 3.00, 2 Ho 3.07, 2 Sr 3.32
Te 0.7642 0.2540 0.2823  1 Cu 3.00, 2 Ho 3.07, 2 Sr 3.32
Te 0.7653 0.7653 0.2835  1 Cu 2.99, 2 Ho 3.07, 2 Sr 3.32

Values from the calculation:
**ΔE_f (raw)**: -1.27 eV/atom

Entry 3:
VASP calculation (PBE-GGA) on VCrTcGe after structural relaxation.

Lattice parameters (Å, degrees): 4.2514 4.2514 4.2514 60.00 60.00 60.00
With the nearest neighbours (Å) after each atom.
Sites, in units of the cell vectors:
V 0.0000 0.0000 0.0000  4 Tc 2.60, 4 Cr 2.60
Cr 0.2500 0.2500 0.2500  4 Ge 2.60, 4 V 2.60
Tc 0.7500 0.7500 0.7500  4 Ge 2.60, 4 V 2.60
Ge 0.5000 0.5000 0.5000  4 Tc 2.60, 4 Cr 2.60

Values from the calculation:
**Formation energy from the elements**: -188 meV per atom

Entry 4:
VASP calculation (PBE-GGA) on Eu2Zr2O7 after structural relaxation.

Lattice parameters (Å, degrees): 7.5464 3.6698 10.8201 90.00 90.00 90.00
With the nearest neighbours (Å) after each atom.
Sites, in units of the cell vectors:
Eu 0.0000 0.0000 0.0000  6 O 2.29-2.35
Eu 0.2500 0.5000 0.2750  6 O 2.26-2.37
Eu 0.5000 0.0000 0.0000  6 O 2.29-2.35
Eu 0.7500 0.5000 0.7250  6 O 2.26-2.37
Zr 0.0000 0.0000 0.5000  8 O 2.18-2.41
Zr 0.2500 0.5000 0.7435  6 O 2.15-2.35
Zr 0.5000 0.0000 0.5000  8 O 2.18-2.41
Zr 0.7500 0.5000 0.2565  6 O 2.15-2.35
O 0.0228 0.5000 0.6158  3 Zr 2.20-2.23, 1 Eu 2.37
O 0.0281 0.5000 0.1350  3 Eu 2.26-2.35, 1 Zr 2.48
O 0.2500 0.0000 0.3983  2 Zr 2.18, 2 Eu 2.27
O 0.2500 0.0000 0.6391  2 Zr 2.15
O 0.2500 0.0000 0.8794  2 Eu 2.29, 2 Zr 2.35
O 0.4719 0.5000 0.1350  3 Eu 2.26-2.35, 1 Zr 2.48
O 0.4772 0.5000 0.6158  3 Zr 2.20-2.23, 1 Eu 2.37
O 0.5228 0.5000 0.3842  3 Zr 2.20-2.23, 1 Eu 2.37
O 0.5281 0.5000 0.8650  3 Eu 2.26-2.35, 1 Zr 2.48
O 0.7500 0.0000 0.1206  2 Eu 2.29, 2 Zr 2.35
O 0.7500 0.0000 0.3609  2 Zr 2.15
O 0.7500 0.0000 0.6017  2 Zr 2.18, 2 Eu 2.27
O 0.9719 0.5000 0.8650  3 Eu 2.26-2.35, 1 Zr 2.48
O 0.9772 0.5000 0.3842  3 Zr 2.20-2.23, 1 Eu 2.37

Values from the calculation:
**ΔE_f (raw)**: -2.93 eV/atom

Entry 5:
VASP calculation (PBE-GGA) on CrPtSe after structural relaxation.

Lattice parameters (Å, degrees): 4.2286 4.2286 4.2286 60.00 60.00 60.00
With the nearest neighbours (Å) after each atom.
Sites, in units of the cell vectors:
Cr 0.0000 0.0000 0.0000  4 Pt 2.59, 4 Se 2.59
Pt 0.7500 0.7500 0.7500  4 Cr 2.59
Se 0.2500 0.2500 0.2500  4 Cr 2.59

Values from the calculation:
**E above lowest polymorph**: 51.1 meV/atom
**ΔE_f (raw)**: 0.04 eV/atom

Entry 6:
VASP calculation (PBE-GGA) on Sn2Au13 after structural relaxation.

Lattice parameters (Å, degrees): 8.3429 8.3429 8.3429 54.35 54.35 54.35
With the nearest neighbours (Å) after each atom.
Sites, in units of the cell vectors:
Sn 0.2294 0.2294 0.2294  3 Au 2.71
Sn 0.7706 0.7706 0.7706  3 Au 2.71
Au 0.0000 0.0000 0.0000  12 Au 2.83-2.86
Au 0.0207 0.0207 0.6375  1 Sn 2.71, 7 Au 2.74-3.02
Au 0.0207 0.6375 0.0207  1 Sn 2.71, 7 Au 2.74-3.02
Au 0.2374 0.2374 0.5984  8 Au 2.75-3.02
Au 0.2374 0.5984 0.2374  8 Au 2.75-3.02
Au 0.3625 0.9793 0.9793  1 Sn 2.71, 7 Au 2.74-3.02
Au 0.4016 0.7626 0.7626  8 Au 2.75-3.02
Au 0.5984 0.2374 0.2374  8 Au 2.75-3.02
Au 0.6375 0.0207 0.0207  1 Sn 2.71, 7 Au 2.74-3.02
Au 0.7626 0.4016 0.7626  8 Au 2.75-3.02
Au 0.7626 0.7626 0.4016  8 Au 2.75-3.02
Au 0.9793 0.3625 0.9793  1 Sn 2.71, 7 Au 2.74-3.02
Au 0.9793 0.9793 0.3625  1 Sn 2.71, 7 Au 2.74-3.02

Values from the calculation:
**Formation energy from the elements**: 77 meV per atom
**E above lowest polymorph**: 0.0 meV/atom

Entry 7:
VASP calculation (PBE-GGA) on SrInSi2 after structural relaxation.

Lattice parameters (Å, degrees): 6.5289 6.5289 6.5289 146.00 139.00 54.29
With the nearest neighbours (Å) after each atom.
Sites, in units of the cell vectors:
Sr 0.0000 0.0000 0.0000  6 Si 3.28-3.47, 2 In 3.41
In 0.2819 0.7819 0.5000  6 Si 2.97-3.00
Si 0.6186 0.6186 0.0000  2 Si 2.45
Si 0.7503 0.2503 0.5000  2 Si 2.45

Values from the calculation:
**ΔE_f (raw)**: -0.13 eV/atom

Entry 8:
VASP calculation (PBE-GGA) on SbHO2F6 after structural relaxation.

Lattice parameters (Å, degrees): 5.2214 7.6486 8.0781 90.69 94.31 91.89
With the nearest neighbours (Å) after each atom.
Sites, in units of the cell vectors:
Sb 0.0438 0.2256 0.2794  5 F 1.88-1.90
Sb 0.9562 0.7744 0.7206  5 F 1.88-1.90
H 0.3425 0.5443 0.3257  1 F 0.98
H 0.6575 0.4557 0.6743  1 F 0.98
O 0.3730 0.7895 0.1265  1 O 1.23
O 0.4890 0.7020 0.2327  1 O 1.23
O 0.5110 0.2980 0.7673  1 O 1.23
O 0.6270 0.2105 0.8735  1 O 1.23
F 0.0489 0.7987 0.4992  1 Sb 1.90
F 0.1332 0.9714 0.8210  1 Sb 1.88
F 0.1878 0.3157 0.0874  1 Sb 1.90
F 0.2251 0.6145 0.7578  1 Sb 1.90
F 0.2590 0.4597 0.3965  1 H 0.98
F 0.3543 0.1129 0.3385  1 Sb 1.89
F 0.6457 0.8871 0.6615  1 Sb 1.89
F 0.7410 0.5403 0.6035  1 H 0.98
F 0.7749 0.3855 0.2422  1 Sb 1.90
F 0.8122 0.6843 0.9126  1 Sb 1.90
F 0.8668 0.0286 0.1790  1 Sb 1.88
F 0.9511 0.2013 0.5008  1 Sb 1.90

Values from the calculation:
**Total DFT energy (no corrections)**: -4.4906 eV/atom